[1]
Density functional theory data (PBE) for an optimized crystal structure of NbIn2I8. Values from VASP.

Structure (Quantum ESPRESSO input):
```
&SYSTEM
  ibrav = 0, nat = 11, ntyp = 3
/
ATOMIC_SPECIES
In 114.82 In.upf
I 126.90 I.upf
Nb 92.91 Nb.upf
CELL_PARAMETERS angstrom
-2.1225 7.9024 5.2323
1.2374 -2.9528 7.4507
7.1315 3.8382 -0.4149
ATOMIC_POSITIONS crystal
In 0.3337 0.8181 0.8181
I 0.2240 0.1612 0.8212
I 0.0907 0.7213 0.7213
I 0.7760 0.1788 0.8388
I 0.6001 0.6748 0.6748
I 0.2240 0.8212 0.1612
Nb 0.0000 0.0000 0.0000
I 0.7760 0.8388 0.1788
I 0.3999 0.3252 0.3252
In 0.6663 0.1819 0.1819
I 0.9093 0.2787 0.2787
```

Summary:
Size of the total moment (μB per formula unit): 3.038
SG: No. 12
V (Å³ per cell): 617
ΔE_f (raw) (kJ/mol of atoms): -34.5
E (eV per cell): -31.88

[2]
Density functional theory data (PBE) for an optimized crystal structure of NbInI2O. Values from VASP.

Structure (Quantum ESPRESSO input):
```
&SYSTEM
  ibrav = 0, nat = 5, ntyp = 4
/
ATOMIC_SPECIES
Nb 92.91 Nb.upf
I 126.90 I.upf
In 114.82 In.upf
O 16.00 O.upf
CELL_PARAMETERS angstrom
-3.8491 -2.5430 -3.8304
-0.1398 -4.9284 3.4125
-3.0428 1.5096 2.0555
ATOMIC_POSITIONS crystal
Nb 0.0000 0.0000 0.0000
I 0.0000 0.5000 0.0000
I 0.5000 0.0000 0.0000
In 0.5000 0.5000 0.5000
O 0.0000 0.0000 0.5000
```

Summary:
Size of the total moment (μB per formula unit): 1.895
Polymorph energy (0 for the lowest one) (meV per atom): 0
SG: No. 123
V (Å³ per cell): 143
ΔE_f (raw) (kJ/mol of atoms): -71.5
E (eV per cell): -24.57

[3]
Density functional theory data (PBE) for an optimized crystal structure of NbInI2O. Values from VASP.

Structure (Quantum ESPRESSO input):
```
&SYSTEM
  ibrav = 0, nat = 5, ntyp = 4
/
ATOMIC_SPECIES
O 16.00 O.upf
I 126.90 I.upf
Nb 92.91 Nb.upf
In 114.82 In.upf
CELL_PARAMETERS angstrom
-0.6943 -5.5279 -1.9244
5.7713 -0.9696 0.7030
-0.6588 -1.2162 3.7314
ATOMIC_POSITIONS crystal
O 0.0000 0.0000 0.5000
I 0.0000 0.5000 0.0000
Nb 0.5000 0.5000 0.5000
I 0.5000 0.0000 0.0000
In 0.0000 0.0000 0.0000
```

Summary:
Size of the total moment (μB per formula unit): 3.778
Polymorph energy (0 for the lowest one) (meV per atom): 1007
SG: No. 123
V (Å³ per cell): 138
ΔE_f (raw) (kJ/mol of atoms): 25.6
E (eV per cell): -19.54

[4]
Density functional theory data (PBE) for an optimized crystal structure of NbInPI2. Values from VASP.

Structure (Quantum ESPRESSO input):
```
&SYSTEM
  ibrav = 0, nat = 5, ntyp = 4
/
ATOMIC_SPECIES
P 30.97 P.upf
I 126.90 I.upf
Nb 92.91 Nb.upf
In 114.82 In.upf
CELL_PARAMETERS angstrom
5.8039 0.0000 0.0000
0.0000 5.6699 0.0000
0.0000 0.0000 5.8039
ATOMIC_POSITIONS crystal
P 0.5000 0.5000 0.5000
I 0.5000 0.0000 0.0000
I 0.0000 0.0000 0.5000
Nb 0.0000 0.5000 0.0000
In 0.0000 0.0000 0.0000
```

Summary:
Size of the total moment (μB per formula unit): 2.638
SG: No. 123
V (Å³ per cell): 191
ΔE_f (raw) (kJ/mol of atoms): 141.7
E (eV per cell): -13.97

[5]
Density functional theory data (PBE) for an optimized crystal structure of Nb2InPbI. Values from VASP.

Structure (Quantum ESPRESSO input):
```
&SYSTEM
  ibrav = 0, nat = 5, ntyp = 4
/
ATOMIC_SPECIES
Nb 92.91 Nb.upf
In 114.82 In.upf
Pb 207.20 Pb.upf
I 126.90 I.upf
CELL_PARAMETERS angstrom
5.5282 0.0000 0.0000
0.0000 5.6437 0.0000
0.0000 0.0000 5.5282
ATOMIC_POSITIONS crystal
Nb 0.0000 0.0000 0.5000
Nb 0.5000 0.0000 0.0000
In 0.0000 0.0000 0.0000
Pb 0.0000 0.5000 0.0000
I 0.5000 0.5000 0.5000
```

Summary:
Size of the total moment (μB per formula unit): 5.931
SG: No. 123
V (Å³ per cell): 172
ΔE_f (raw) (kJ/mol of atoms): 145.1
E (eV per cell): -20.62

[6]
Density functional theory data (PBE) for an optimized crystal structure of NbInRe2I. Values from VASP.

Structure (Quantum ESPRESSO input):
```
&SYSTEM
  ibrav = 0, nat = 5, ntyp = 4
/
ATOMIC_SPECIES
I 126.90 I.upf
Re 186.21 Re.upf
Nb 92.91 Nb.upf
In 114.82 In.upf
CELL_PARAMETERS angstrom
-0.7343 -1.2180 -4.6334
2.1802 -4.4224 0.8170
-4.2991 -1.9012 1.1810
ATOMIC_POSITIONS crystal
I 0.0000 0.0000 0.0000
Re 0.5000 0.0000 0.0000
Nb 0.0000 0.5000 0.0000
Re 0.0000 0.0000 0.5000
In 0.5000 0.5000 0.5000
```

Summary:
Size of the total moment (μB per formula unit): 1.023
SG: No. 123
V (Å³ per cell): 117
ΔE_f (raw) (kJ/mol of atoms): 213.8
E (eV per cell): -28.17

[7]
Density functional theory data (PBE) for an optimized crystal structure of NbInSbI2. Values from VASP.

Structure (Quantum ESPRESSO input):
```
&SYSTEM
  ibrav = 0, nat = 5, ntyp = 4
/
ATOMIC_SPECIES
In 114.82 In.upf
Sb 121.76 Sb.upf
I 126.90 I.upf
Nb 92.91 Nb.upf
CELL_PARAMETERS angstrom
5.7887 0.0000 0.0000
0.0000 5.7887 0.0000
0.0000 0.0000 5.6905
ATOMIC_POSITIONS crystal
In 0.0000 0.0000 0.0000
Sb 0.0000 0.0000 0.5000
I 0.0000 0.5000 0.0000
Nb 0.5000 0.5000 0.5000
I 0.5000 0.0000 0.0000
```

Summary:
Size of the total moment (μB per formula unit): 2.530
Polymorph energy (0 for the lowest one) (meV per atom): 885
SG: No. 123
V (Å³ per cell): 191
ΔE_f (raw) (kJ/mol of atoms): 99.0
E (eV per cell): -14.90

[8]
Density functional theory data (PBE) for an optimized crystal structure of NbInSbI2. Values from VASP.

Structure (Quantum ESPRESSO input):
```
&SYSTEM
  ibrav = 0, nat = 5, ntyp = 4
/
ATOMIC_SPECIES
I 126.90 I.upf
Nb 92.91 Nb.upf
In 114.82 In.upf
Sb 121.76 Sb.upf
CELL_PARAMETERS angstrom
-2.2499 5.3053 -0.2823
-5.2992 -2.2629 -0.2929
-0.3560 0.1359 5.3909
ATOMIC_POSITIONS crystal
I 0.5000 0.0000 0.0000
I 0.0000 0.5000 0.0000
Nb 0.0000 0.0000 0.0000
In 0.5000 0.5000 0.5000
Sb 0.0000 0.0000 0.5000
```

Summary:
Size of the total moment (μB per formula unit): 0.863
Polymorph energy (0 for the lowest one) (meV per atom): 0
SG: No. 123
V (Å³ per cell): 180
ΔE_f (raw) (kJ/mol of atoms): 13.6
E (eV per cell): -19.32

[9]
Density functional theory data (PBE) for an optimized crystal structure of NbInTeI2. Values from VASP.

Structure (Quantum ESPRESSO input):
```
&SYSTEM
  ibrav = 0, nat = 5, ntyp = 4
/
ATOMIC_SPECIES
I 126.90 I.upf
In 114.82 In.upf
Nb 92.91 Nb.upf
Te 127.60 Te.upf
CELL_PARAMETERS angstrom
5.8386 0.0000 0.0000
0.0000 5.8386 0.0000
0.0000 0.0000 5.4422
ATOMIC_POSITIONS crystal
I 0.0000 0.5000 0.0000
In 0.5000 0.5000 0.5000
Nb 0.0000 0.0000 0.0000
Te 0.0000 0.0000 0.5000
I 0.5000 0.0000 0.0000
```

Summary:
Size of the total moment (μB per formula unit): 1.924
Polymorph energy (0 for the lowest one) (meV per atom): 0
SG: No. 123
V (Å³ per cell): 186
ΔE_f (raw) (kJ/mol of atoms): -5.7
E (eV per cell): -19.35

[10]
Density functional theory data (PBE) for an optimized crystal structure of NbInTe2I. Values from VASP.

Structure (Quantum ESPRESSO input):
```
&SYSTEM
  ibrav = 0, nat = 5, ntyp = 4
/
ATOMIC_SPECIES
Nb 92.91 Nb.upf
In 114.82 In.upf
Te 127.60 Te.upf
I 126.90 I.upf
CELL_PARAMETERS angstrom
-2.2181 -2.8455 4.0733
3.3381 -4.1575 -1.0866
3.9969 2.2326 3.7362
ATOMIC_POSITIONS crystal
Nb 0.0000 0.0000 0.0000
In 0.5000 0.5000 0.5000
Te 0.0000 0.5000 0.0000
I 0.0000 0.0000 0.5000
Te 0.5000 0.0000 0.0000
```

Summary:
Size of the total moment (μB per formula unit): 0.845
Polymorph energy (0 for the lowest one) (meV per atom): 0
SG: No. 123
V (Å³ per cell): 175
ΔE_f (raw) (kJ/mol of atoms): -3.9
E (eV per cell): -20.84

[11]
Density functional theory data (PBE) for an optimized crystal structure of NbInTeI2. Values from VASP.

Structure (Quantum ESPRESSO input):
```
&SYSTEM
  ibrav = 0, nat = 5, ntyp = 4
/
ATOMIC_SPECIES
In 114.82 In.upf
I 126.90 I.upf
Te 127.60 Te.upf
Nb 92.91 Nb.upf
CELL_PARAMETERS angstrom
-5.2119 0.2962 2.2455
0.0925 -5.6015 0.9535
2.2871 0.9207 5.1870
ATOMIC_POSITIONS crystal
In 0.0000 0.0000 0.0000
I 0.0000 0.5000 0.0000
I 0.5000 0.0000 0.0000
Te 0.0000 0.0000 0.5000
Nb 0.5000 0.5000 0.5000
```

Summary:
Size of the total moment (μB per formula unit): 3.413
Polymorph energy (0 for the lowest one) (meV per atom): 891
SG: No. 123
V (Å³ per cell): 185
ΔE_f (raw) (kJ/mol of atoms): 80.2
E (eV per cell): -14.89

[12]
Density functional theory data (PBE) for an optimized crystal structure of NbInTe2I. Values from VASP.

Structure (Quantum ESPRESSO input):
```
&SYSTEM
  ibrav = 0, nat = 5, ntyp = 4
/
ATOMIC_SPECIES
Te 127.60 Te.upf
In 114.82 In.upf
I 126.90 I.upf
Nb 92.91 Nb.upf
CELL_PARAMETERS angstrom
-3.4684 4.1393 1.6438
-3.6861 -3.8373 1.8850
2.5178 0.0853 5.0974
ATOMIC_POSITIONS crystal
Te 0.0000 0.5000 0.0000
In 0.0000 0.0000 0.0000
Te 0.5000 0.0000 0.0000
I 0.0000 0.0000 0.5000
Nb 0.5000 0.5000 0.5000
```

Summary:
Size of the total moment (μB per formula unit): 2.880
Polymorph energy (0 for the lowest one) (meV per atom): 957
SG: No. 123
V (Å³ per cell): 181
ΔE_f (raw) (kJ/mol of atoms): 88.4
E (eV per cell): -16.06

[13]
Density functional theory data (PBE) for an optimized crystal structure of YNb2InI. Values from VASP.

Structure (Quantum ESPRESSO input):
```
&SYSTEM
  ibrav = 0, nat = 5, ntyp = 4
/
ATOMIC_SPECIES
In 114.82 In.upf
Y 88.91 Y.upf
Nb 92.91 Nb.upf
I 126.90 I.upf
CELL_PARAMETERS angstrom
5.2059 0.0000 0.0000
0.0000 5.7868 0.0000
0.0000 0.0000 5.2059
ATOMIC_POSITIONS crystal
In 0.5000 0.5000 0.5000
Y 0.0000 0.0000 0.0000
Nb 0.0000 0.0000 0.5000
I 0.0000 0.5000 0.0000
Nb 0.5000 0.0000 0.0000
```

Summary:
Size of the total moment (μB per formula unit): 2.315
SG: No. 123
V (Å³ per cell): 157
ΔE_f (raw) (kJ/mol of atoms): 154.0
E (eV per cell): -22.91

[14]
Density functional theory data (PBE) for an optimized crystal structure of Nb2ZnInI. Values from VASP.

Structure (Quantum ESPRESSO input):
```
&SYSTEM
  ibrav = 0, nat = 5, ntyp = 4
/
ATOMIC_SPECIES
Nb 92.91 Nb.upf
I 126.90 I.upf
Zn 65.41 Zn.upf
In 114.82 In.upf
CELL_PARAMETERS angstrom
5.4458 0.0000 0.0000
0.0000 4.8444 0.0000
0.0000 0.0000 5.4458
ATOMIC_POSITIONS crystal
Nb 0.5000 0.0000 0.0000
Nb 0.0000 0.0000 0.5000
I 0.5000 0.5000 0.5000
Zn 0.0000 0.5000 0.0000
In 0.0000 0.0000 0.0000
```

Summary:
Size of the total moment (μB per formula unit): 5.843
SG: No. 123
V (Å³ per cell): 144
ΔE_f (raw) (kJ/mol of atoms): 135.7
E (eV per cell): -18.67